[1]
DFT (GGA+U) results for crystalline Li5Co7O12 at its relaxed geometry.

Values from the calculation:
The value obtained for the calculated total energy is -270.75 eV for the cell shown. For the density, the calculation gives 5.165 g cm⁻³. The value obtained for the total magnetic moment is 10.1 μB per formula unit.

abc: 4.9875 8.7479 9.5843
angles: 90.00 100.62 90.00
With the nearest neighbours (Å) after each atom.
Space group C2 (No. 5)
One atom of each set of equivalent atoms:
Li 0.0000 0.0000 0.0000 (multiplicity 2)  6 O 2.02-2.19
Li 0.2484 0.5050 0.2431 (multiplicity 4)  6 O 2.01-2.19
Li 0.2497 0.1683 0.2418 (multiplicity 4)  6 O 1.99-2.18
Co 0.0000 0.1703 0.5000 (multiplicity 2)  6 O 2.02-2.16
Co 0.0000 0.3373 0.0000 (multiplicity 2)  6 O 1.90-2.03
Co 0.0000 0.5092 0.5000 (multiplicity 2)  6 O 1.97-2.13
Co 0.0000 0.6698 0.0000 (multiplicity 2)  6 O 1.89-2.06
Co 0.0000 0.8388 0.5000 (multiplicity 2)  6 O 2.05-2.14
Co 0.2468 0.8400 0.2432 (multiplicity 4)  6 O 1.93-2.01
O 0.1020 0.3444 0.3694 (multiplicity 4)  4 Co 1.95-2.14, 2 Li 2.07-2.18
O 0.1175 0.8213 0.8834 (multiplicity 4)  3 Co 1.89-2.03, 2 Li 1.99-2.07
O 0.1189 0.4909 0.8850 (multiplicity 4)  3 Co 1.90-2.06, 2 Li 2.01-2.02
O 0.1321 0.6805 0.3707 (multiplicity 4)  4 Co 2.01-2.13, 2 Li 2.08-2.11
O 0.1441 0.1878 0.8811 (multiplicity 4)  3 Co 1.93-1.96, 2 Li 2.10-2.12
O 0.1446 0.9981 0.3706 (multiplicity 4)  4 Co 1.97-2.16, 2 Li 2.06-2.12

[2]
DFT (GGA+U) results for crystalline LiCo4O8 at its relaxed geometry.

Values from the calculation:
The value obtained for the calculated total energy is -148.38 eV for the cell shown. As for the energy relative to the lowest polymorph listed for this composition: 0 meV/atom. For the density, the calculation gives 4.422 g cm⁻³. The value obtained for the total magnetic moment is 2.0 μB per formula unit.

abc: 5.6461 5.9736 9.7759
angles: 105.64 90.06 117.56
With the nearest neighbours (Å) after each atom.
Space group P1 (No. 1)
One atom of each set of equivalent atoms:
Li 0.0000 0.0000 0.0000 (multiplicity 1)  3 O 2.05-2.14
Li 0.4899 0.9921 0.4508 (multiplicity 1)  5 O 2.11-2.32
Co 0.0001 0.4999 0.4698 (multiplicity 1)  6 O 1.88-1.90
Co 0.2479 0.4958 0.2181 (multiplicity 1)  6 O 1.86-1.90
Co 0.2503 0.5015 0.7204 (multiplicity 1)  6 O 1.87-1.92
Co 0.4988 0.4969 0.9689 (multiplicity 1)  6 O 1.87-1.91
Co 0.5007 0.5013 0.4698 (multiplicity 1)  6 O 1.87-1.90
Co 0.7481 0.4948 0.2186 (multiplicity 1)  6 O 1.91-1.93
Co 0.7502 0.5011 0.7203 (multiplicity 1)  6 O 1.86-1.90
Co 0.9984 0.4953 0.9682 (multiplicity 1)  6 O 1.90-1.91
O 0.0917 0.6922 0.8337 (multiplicity 1)  3 Co 1.88-1.91
O 0.0967 0.6895 0.3361 (multiplicity 1)  3 Co 1.88-1.92
O 0.1575 0.3109 0.3570 (multiplicity 1)  3 Co 1.88-1.90
O 0.1576 0.3083 0.8520 (multiplicity 1)  3 Co 1.87-1.90
O 0.3422 0.6823 0.0845 (multiplicity 1)  3 Co 1.86-1.90
O 0.3451 0.6952 0.5831 (multiplicity 1)  3 Co 1.89-1.92
O 0.3980 0.3018 0.1017 (multiplicity 1)  3 Co 1.89-1.93
O 0.4073 0.3077 0.6038 (multiplicity 1)  3 Co 1.89-1.91
O 0.5897 0.6896 0.3363 (multiplicity 1)  3 Co 1.87-1.93
O 0.5974 0.6947 0.8352 (multiplicity 1)  3 Co 1.89-1.91
O 0.6543 0.3039 0.3586 (multiplicity 1)  3 Co 1.89-1.93, 1 Li 2.11
O 0.6554 0.3111 0.8518 (multiplicity 1)  3 Co 1.86-1.90
O 0.8392 0.6866 0.0822 (multiplicity 1)  3 Co 1.87-1.91, 1 Li 2.05
O 0.8432 0.6894 0.5830 (multiplicity 1)  3 Co 1.88-1.90
O 0.9039 0.3077 0.6048 (multiplicity 1)  3 Co 1.89-1.91
O 0.9098 0.3021 0.1037 (multiplicity 1)  3 Co 1.87-1.92

[3]
DFT (GGA+U) results for crystalline Li3Co2O5 at its relaxed geometry.

Values from the calculation:
The value obtained for the calculated total energy is -217.94 eV for the cell shown. As for the energy relative to the lowest polymorph listed for this composition: 83 meV/atom. For the density, the calculation gives 4.079 g cm⁻³. The value obtained for the total magnetic moment is 7.0 μB per formula unit.

abc: 20.1063 2.9954 5.9634
angles: 90.00 97.48 90.00
With the nearest neighbours (Å) after each atom.
Space group C2/m (No. 12)
One atom of each set of equivalent atoms:
Li 0.0000 0.0000 0.0000 (multiplicity 2)  6 O 2.00-2.13
Li 0.0000 0.0000 0.5000 (multiplicity 2)  6 O 2.06-2.11
Li 0.0981 0.5000 0.2861 (multiplicity 4)  6 O 2.14-2.19
Li 0.1993 0.0000 0.0961 (multiplicity 4)  6 O 1.99-2.18
Co 0.0964 0.5000 0.8073 (multiplicity 4)  2 O 1.73-1.90
Co 0.1980 0.0000 0.5933 (multiplicity 4)  6 O 1.89-2.08
O 0.0100 0.5000 0.7518 (multiplicity 4)  1 Co 1.73
O 0.1000 0.0000 0.0272 (multiplicity 4)  4 Li 1.99-2.15, 2 Co 1.99
O 0.1034 0.0000 0.5550 (multiplicity 4)  1 Co 1.89, 1 Li 2.06
O 0.1918 0.5000 0.8321 (multiplicity 4)  3 Co 1.90-2.08
O 0.2051 0.5000 0.3563 (multiplicity 4)  3 Co 1.93-2.08, 3 Li 2.14-2.15

[4]
DFT (GGA+U) results for crystalline LiCo4O8 at its relaxed geometry.

Values from the calculation:
The value obtained for the calculated total energy is -147.49 eV for the cell shown. As for the energy relative to the lowest polymorph listed for this composition: 34 meV/atom. For the density, the calculation gives 4.702 g cm⁻³. The value obtained for the total magnetic moment is 4.0 μB per formula unit.

abc: 5.6982 5.7082 9.7736
angles: 73.50 74.20 60.45
With the nearest neighbours (Å) after each atom.
Space group P-1 (No. 2)
One atom of each set of equivalent atoms:
Li 0.2310 0.2510 0.2632 (multiplicity 2)  6 O 2.03-2.16
Co 0.0000 0.0000 0.0000 (multiplicity 1)  4 O 1.92-1.94
Co 0.2333 0.7543 0.2550 (multiplicity 2)  6 O 1.89-1.90
Co 0.2682 0.2425 0.7477 (multiplicity 2)  6 O 1.88-1.90
Co 0.2694 0.7452 0.7478 (multiplicity 2)  6 O 1.85-1.92
Co 0.5000 0.5000 0.5000 (multiplicity 1)  6 O 1.92-1.94
O 0.0835 0.1105 0.1410 (multiplicity 2)  3 Co 1.89-1.92
O 0.0848 0.6614 0.1383 (multiplicity 2)  3 Co 1.90-1.94
O 0.1291 0.1146 0.6443 (multiplicity 2)  3 Co 1.89-1.92
O 0.1634 0.6007 0.6366 (multiplicity 2)  3 Co 1.89-1.94, 1 Li 2.03
O 0.3826 0.8845 0.8530 (multiplicity 2)  2 Co 1.85-1.88, 1 Li 2.05
O 0.3840 0.8469 0.3692 (multiplicity 2)  3 Co 1.89-1.93, 1 Li 2.07
O 0.3852 0.3996 0.3672 (multiplicity 2)  3 Co 1.88-1.92, 1 Li 2.06
O 0.4081 0.3736 0.8492 (multiplicity 2)  3 Co 1.89-1.92

[5]
DFT (GGA+U) results for crystalline LiCoO2 at its relaxed geometry.

Values from the calculation:
The value obtained for the calculated total energy is -111.57 eV for the cell shown. For the density, the calculation gives 4.579 g cm⁻³. The value obtained for the total magnetic moment is 2.4 μB per formula unit.

abc: 5.0223 5.1532 7.6404
angles: 105.92 103.75 101.18
With the nearest neighbours (Å) after each atom.
Space group P-1 (No. 2)
One atom of each set of equivalent atoms:
Li 0.0000 0.0000 0.0000 (multiplicity 1)  6 O 2.02-2.22
Li 0.1079 0.2068 0.7164 (multiplicity 2)  6 O 2.05-2.29
Li 0.3011 0.5831 0.0864 (multiplicity 2)  5 O 2.03-2.19
Co 0.1968 0.3989 0.3906 (multiplicity 2)  4 O 1.86-2.06
Co 0.4014 0.8207 0.8085 (multiplicity 2)  5 O 1.88-2.04
Co 0.5000 0.0000 0.5000 (multiplicity 1)  6 O 1.94-1.96
O 0.0592 0.6027 0.8312 (multiplicity 2)  2 Co 1.86-1.94, 2 Li 2.08
O 0.1778 0.7930 0.5565 (multiplicity 2)  4 Co 1.94-2.13
O 0.2762 0.0271 0.2644 (multiplicity 2)  3 Co 1.93-2.06, 2 Li 2.11-2.13
O 0.3636 0.1940 0.9643 (multiplicity 2)  2 Co 1.88-2.04, 4 Li 2.02-2.08
O 0.4471 0.3627 0.6257 (multiplicity 2)  3 Co 1.95-2.02, 2 Li 2.09-2.17

[6]
DFT (GGA+U) results for crystalline LiCoO3 at its relaxed geometry.

Values from the calculation:
The value obtained for the calculated total energy is -25.26 eV for the cell shown. For the density, the calculation gives 3.850 g cm⁻³. The value obtained for the total magnetic moment is 3.9 μB per formula unit.

abc: 3.6622 3.6622 3.6622
angles: 90.00 90.00 90.00
With the nearest neighbours (Å) after each atom.
Space group Pm-3m (No. 221)
One atom of each set of equivalent atoms:
Li 0.0000 0.0000 0.0000 (multiplicity 1)  12 O 2.59
Co 0.5000 0.5000 0.5000 (multiplicity 1)  6 O 1.83
O 0.0000 0.5000 0.5000 (multiplicity 3)  2 Co 1.83

[7]
DFT (GGA+U) results for crystalline Li3Co13O16 at its relaxed geometry.

Values from the calculation:
The value obtained for the calculated total energy is -187.14 eV for the cell shown. For the density, the calculation gives 5.745 g cm⁻³. The value obtained for the total magnetic moment is 36.0 μB per formula unit.

abc: 5.1806 5.9915 9.8680
angles: 98.79 95.15 90.01
With the nearest neighbours (Å) after each atom.
Space group P-1 (No. 2)
One atom of each set of equivalent atoms:
Li 0.0000 0.0000 0.0000 (multiplicity 1)  6 O 2.11-2.15
Li 0.3725 0.5618 0.2464 (multiplicity 2)  6 O 2.09-2.18
Co 0.0000 0.5000 0.0000 (multiplicity 1)  6 O 2.08-2.10
Co 0.1230 0.6861 0.7538 (multiplicity 2)  6 O 2.09-2.14
Co 0.1235 0.1903 0.7537 (multiplicity 2)  6 O 2.09-2.13
Co 0.2534 0.8718 0.4976 (multiplicity 2)  6 O 2.09-2.15
Co 0.2569 0.3772 0.5012 (multiplicity 2)  6 O 2.08-2.14
Co 0.3684 0.0618 0.2450 (multiplicity 2)  6 O 2.07-2.14
Co 0.4999 0.2506 0.9998 (multiplicity 2)  6 O 2.10-2.12
O 0.0532 0.5936 0.3768 (multiplicity 2)  5 Co 2.08-2.13, 1 Li 2.18
O 0.0615 0.0944 0.3736 (multiplicity 2)  6 Co 2.11-2.15
O 0.1887 0.2826 0.1232 (multiplicity 2)  4 Co 2.08-2.10, 2 Li 2.09-2.11
O 0.1891 0.7803 0.1238 (multiplicity 2)  4 Co 2.08-2.10, 2 Li 2.09-2.11
O 0.3093 0.4694 0.8777 (multiplicity 2)  5 Co 2.08-2.10, 1 Li 2.13
O 0.3182 0.9674 0.8723 (multiplicity 2)  5 Co 2.07-2.12, 1 Li 2.15
O 0.4334 0.1499 0.6246 (multiplicity 2)  5 Co 2.09-2.14, 1 Li 2.17
O 0.4364 0.6609 0.6250 (multiplicity 2)  5 Co 2.09-2.14, 1 Li 2.16

[8]
DFT (GGA+U) results for crystalline Li3Co2O5 at its relaxed geometry.

Values from the calculation:
The value obtained for the calculated total energy is -109.77 eV for the cell shown. As for the energy relative to the lowest polymorph listed for this composition: 43 meV/atom. For the density, the calculation gives 4.259 g cm⁻³. The value obtained for the total magnetic moment is 3.0 μB per formula unit.

abc: 2.8961 5.0161 11.8519
angles: 95.50 95.57 90.92
With the nearest neighbours (Å) after each atom.
Space group P-1 (No. 2)
One atom of each set of equivalent atoms:
Li 0.0000 0.0000 0.0000 (multiplicity 1)  6 O 2.06-2.12
Li 0.0882 0.7023 0.2018 (multiplicity 2)  5 O 2.00-2.11
Li 0.2925 0.1030 0.5987 (multiplicity 2)  6 O 2.07-2.15
Li 0.5000 0.5000 0.0000 (multiplicity 1)  6 O 2.10-2.21
Co 0.2103 0.3935 0.4017 (multiplicity 2)  6 O 1.92-1.95
Co 0.4020 0.8115 0.8052 (multiplicity 2)  3 O 1.74-1.95
O 0.0197 0.3455 0.1098 (multiplicity 2)  2 Co 1.87-2.08, 2 Li 2.00-2.06
O 0.1881 0.0693 0.3016 (multiplicity 2)  2 Co 1.92-1.95, 3 Li 2.07-2.13
O 0.2544 0.7206 0.5036 (multiplicity 2)  3 Co 1.94-1.95, 3 Li 2.11-2.15
O 0.3243 0.4929 0.6922 (multiplicity 2)  3 Co 1.94-1.98, 2 Li 2.11-2.15
O 0.4476 0.1204 0.8873 (multiplicity 2)  1 Co 1.74

What is the density in the seventh record? 5.745 g cm⁻³

Which value of calculated total energy does entry 1 give? -270.75 eV for the cell shown

Which value of calculated total energy does entry 1 give? -270.75 eV for the cell shown

Which of these has the highest total magnetic moment? Li3Co13O16